Tl2CdPd (PBE-GGA, optimized geometry); E above lowest polymorph = 0 meV/atom; energy of formation = 0.006 eV/atom; density of states at the Fermi level = 0.414 states/eV/atom; volume = 23.52 Å³/atom
1.0
3.6298 0.0000 0.0000
0.0000 3.6298 0.0000
0.0000 0.0000 7.1390
Pd Cd Tl
1 1 2
direct
0.5000 0.5000 0.0000 Pd
0.5000 0.5000 0.5000 Cd
0.0000 0.0000 0.2221 Tl
0.0000 0.0000 0.7779 Tl